Material: GaAgPd4
Method: DFT, PBE
State: relaxed

Total energy (eV for the cell shown): -28.3
Energy above the lowest structure with this stoichiometry (eV per formula unit): 0.000
Mass density (Mg/m³): 10.7
Space group: No. 65

Cell lengths 5.6936, 5.6936, 4.1858 Å; angles 90.00, 90.00, 43.64 degrees
Fractional coordinates of all 6 atoms:
Ag  0.0000  0.0000  0.0000
Ga  0.5000  0.5000  0.5000
Pd  0.3392  0.3392  0.0000
Pd  0.8379  0.8379  0.4999
Pd  0.1621  0.1621  0.5001
Pd  0.6608  0.6608  0.0000